# 1
First-principles (PBE) data for a relaxed Sm12Tm5Ag3 crystal, as listed in Alexandria.

Output
DOS at the Fermi energy, states/eV/cell: 248.94

Lattice parameters (Å, degrees): 18.257 18.257 18.257 90.00 90.00 90.00
Space group Ia-3d (No. 230)
Inequivalent atoms, fractional coordinates:
Sm1 0.009 0.087 0.648 (multiplicity 96)
Tm1 0.000 0.000 0.000 (multiplicity 16)
Tm2 0.000 0.250 0.375 (multiplicity 24)
Ag1 0.000 0.250 0.125 (multiplicity 24)


# 2
First-principles (PBE) data for a relaxed SmTm4Ag2 crystal, as listed in Alexandria.

Output
DOS at the Fermi energy, states/eV/cell: 29.15

Lattice parameters (Å, degrees): 4.9060 4.9060 30.6131 90.00 90.00 120.00
Space group R-3m (No. 166, hexagonal axes)
Inequivalent atoms, fractional coordinates:
Sm1 0.0000 0.0000 0.0000 (multiplicity 3)
Tm1 0.0000 0.0000 0.2010 (multiplicity 6)
Tm2 0.0000 0.0000 0.3992 (multiplicity 6)
Ag1 0.0000 0.0000 0.1021 (multiplicity 6)


# 3
First-principles (PBE) data for a relaxed SmTm3Ag crystal, as listed in Alexandria.

Output
DOS at the Fermi energy, states/eV/cell: 21.49

Lattice parameters (Å, degrees): 11.091 7.341 7.661 90.00 110.95 90.00
Space group C2/m (No. 12)
Inequivalent atoms, fractional coordinates:
Sm1 0.061 0.000 0.235 (multiplicity 4)
Tm1 0.061 0.500 0.243 (multiplicity 4)
Tm2 0.161 0.250 0.648 (multiplicity 8)
Ag1 0.237 0.500 0.999 (multiplicity 4)


# 4
First-principles (PBE) data for a relaxed Sm2TmAg2 crystal, as listed in Alexandria.

Output
DOS at the Fermi energy, states/eV/cell: 11.30
ΔE to the lowest computed polymorph, meV per atom: 127

Lattice parameters (Å, degrees): 5.773 4.701 10.763 90.00 96.90 90.00
Space group P2_1/m (No. 11)
Inequivalent atoms, fractional coordinates:
Sm1 0.108 0.250 0.378 (multiplicity 2)
Sm2 0.254 0.250 0.047 (multiplicity 2)
Tm1 0.410 0.250 0.715 (multiplicity 2)
Ag1 0.233 0.750 0.856 (multiplicity 2)
Ag2 0.369 0.750 0.532 (multiplicity 2)


# 5
First-principles (PBE) data for a relaxed SmTm3Ag2 crystal, as listed in Alexandria.

Output
DOS at the Fermi energy, states/eV/cell: 29.54
ΔE to the lowest computed polymorph, meV per atom: 239

Lattice parameters (Å, degrees): 7.022 13.894 7.341 90.00 90.00 90.00
Space group Ibam (No. 72)
Inequivalent atoms, fractional coordinates:
Sm1 0.000 0.000 0.000 (multiplicity 4)
Tm1 0.000 0.230 0.250 (multiplicity 8)
Tm2 0.000 0.500 0.250 (multiplicity 4)
Ag1 0.198 0.356 0.000 (multiplicity 8)


# 6
First-principles (PBE) data for a relaxed Sm3TmAg crystal, as listed in Alexandria.

Output
DOS at the Fermi energy, states/eV/cell: 21.41

Lattice parameters (Å, degrees): 11.315 7.565 7.942 90.00 113.43 90.00
Space group C2/m (No. 12)
Inequivalent atoms, fractional coordinates:
Sm1 0.045 0.000 0.236 (multiplicity 4)
Sm2 0.168 0.255 0.653 (multiplicity 8)
Tm1 0.057 0.500 0.241 (multiplicity 4)
Ag1 0.234 0.500 0.003 (multiplicity 4)


# 7
First-principles (PBE) data for a relaxed Sm2Tm3Ag3 crystal, as listed in Alexandria.

Output
DOS at the Fermi energy, states/eV/cell: 13.54

Lattice parameters (Å, degrees): 3.683 5.211 21.459 90.00 90.00 90.00
Space group Immm (No. 71)
Inequivalent atoms, fractional coordinates:
Sm1 0.000 0.000 0.231 (multiplicity 4)
Tm1 0.000 0.000 0.000 (multiplicity 2)
Tm2 0.000 0.500 0.118 (multiplicity 4)
Ag1 0.000 0.000 0.500 (multiplicity 2)
Ag2 0.000 0.500 0.387 (multiplicity 4)


# 8
First-principles (PBE) data for a relaxed SmTm3Ag2 crystal, as listed in Alexandria.

Output
DOS at the Fermi energy, states/eV/cell: 6.34
ΔE to the lowest computed polymorph, meV per atom: 0

Lattice parameters (Å, degrees): 3.584 3.584 12.229 90.00 90.00 90.00
Space group P4/mmm (No. 123)
Inequivalent atoms, fractional coordinates:
Sm1 0.000 0.000 0.000 (multiplicity 1)
Tm1 0.500 0.500 0.206 (multiplicity 2)
Tm2 0.500 0.500 0.500 (multiplicity 1)
Ag1 0.000 0.000 0.352 (multiplicity 2)


# 9
First-principles (PBE) data for a relaxed SmTmAg4 crystal, as listed in Alexandria.

Output
DOS at the Fermi energy, states/eV/cell: 2.70
ΔE to the lowest computed polymorph, meV per atom: 0

Lattice parameters (Å, degrees): 3.724 5.348 7.591 69.38 89.94 69.63
Space group P-1 (No. 2)
Inequivalent atoms, fractional coordinates:
Sm1 0.000 0.000 0.000 (multiplicity 1)
Tm1 0.000 0.000 0.500 (multiplicity 1)
Ag1 0.330 0.340 0.657 (multiplicity 2)
Ag2 0.332 0.337 0.175 (multiplicity 2)


# 10
First-principles (PBE) data for a relaxed SmTmAg crystal, as listed in Alexandria.

Output
DOS at the Fermi energy, states/eV/cell: 7.99
ΔE to the lowest computed polymorph, meV per atom: 10

Lattice parameters (Å, degrees): 3.589 3.589 12.665 90.00 90.00 90.00
Space group I4mm (No. 107)
Inequivalent atoms, fractional coordinates:
Sm1 0.000 0.000 0.000 (multiplicity 2)
Tm1 0.000 0.000 0.299 (multiplicity 2)
Ag1 0.000 0.000 0.662 (multiplicity 2)


# 11
First-principles (PBE) data for a relaxed Sm2TmAg5 crystal, as listed in Alexandria.

Output
DOS at the Fermi energy, states/eV/cell: 11.44

Lattice parameters (Å, degrees): 5.094 5.094 14.230 90.00 90.00 90.00
Space group I4/mmm (No. 139)
Inequivalent atoms, fractional coordinates:
Sm1 0.000 0.000 0.232 (multiplicity 4)
Tm1 0.000 0.000 0.500 (multiplicity 2)
Ag1 0.000 0.000 0.000 (multiplicity 2)
Ag2 0.000 0.500 0.114 (multiplicity 8)


# 12
First-principles (PBE) data for a relaxed SmTmAg6 crystal, as listed in Alexandria.

Output
DOS at the Fermi energy, states/eV/cell: 8.79

Lattice parameters (Å, degrees): 9.352 4.521 8.974 90.00 118.39 90.00
Space group C2/m (No. 12)
Inequivalent atoms, fractional coordinates:
Sm1 0.000 0.000 0.000 (multiplicity 2)
Tm1 0.000 0.000 0.500 (multiplicity 2)
Ag1 0.005 0.500 0.747 (multiplicity 4)
Ag2 0.247 0.500 0.618 (multiplicity 4)
Ag3 0.248 0.000 0.867 (multiplicity 4)


# 13
First-principles (PBE) data for a relaxed Sm2Tm2Ag crystal, as listed in Alexandria.

Output
DOS at the Fermi energy, states/eV/cell: 12.73

Lattice parameters (Å, degrees): 3.562 3.562 22.783 90.00 90.00 90.00
Space group I4/mmm (No. 139)
Inequivalent atoms, fractional coordinates:
Sm1 0.000 0.000 0.193 (multiplicity 4)
Tm1 0.000 0.000 0.419 (multiplicity 4)
Ag1 0.000 0.000 0.000 (multiplicity 2)


# 14
First-principles (PBE) data for a relaxed Sm4TmAg5 crystal, as listed in Alexandria.

Output
DOS at the Fermi energy, states/eV/cell: 5.01

Lattice parameters (Å, degrees): 3.654 3.654 18.764 90.00 90.00 90.00
Space group P4/mmm (No. 123)
Inequivalent atoms, fractional coordinates:
Sm1 0.000 0.000 0.101 (multiplicity 2)
Sm2 0.000 0.000 0.304 (multiplicity 2)
Tm1 0.000 0.000 0.500 (multiplicity 1)
Ag1 0.500 0.500 0.000 (multiplicity 1)
Ag2 0.500 0.500 0.202 (multiplicity 2)
Ag3 0.500 0.500 0.409 (multiplicity 2)


# 15
First-principles (PBE) data for a relaxed SmTm5Ag6 crystal, as listed in Alexandria.

Output
DOS at the Fermi energy, states/eV/cell: 10.96

Lattice parameters (Å, degrees): 5.127 15.384 7.154 90.00 90.00 90.00
Space group Cmmm (No. 65)
Inequivalent atoms, fractional coordinates:
Sm1 0.000 0.000 0.000 (multiplicity 2)
Tm1 0.000 0.000 0.500 (multiplicity 2)
Tm2 0.000 0.332 0.000 (multiplicity 4)
Tm3 0.000 0.334 0.500 (multiplicity 4)
Ag1 0.000 0.170 0.254 (multiplicity 8)
Ag2 0.000 0.500 0.259 (multiplicity 4)


# 16
First-principles (PBE) data for a relaxed Sm2TmAg4 crystal, as listed in Alexandria.

Output
DOS at the Fermi energy, states/eV/cell: 11.95

Lattice parameters (Å, degrees): 5.322 5.322 12.829 90.00 90.00 90.00
Space group I4/mmm (No. 139)
Inequivalent atoms, fractional coordinates:
Sm1 0.000 0.000 0.222 (multiplicity 4)
Tm1 0.000 0.000 0.500 (multiplicity 2)
Ag1 0.000 0.500 0.115 (multiplicity 8)


# 17
First-principles (PBE) data for a relaxed Sm3TmAg3 crystal, as listed in Alexandria.

Output
DOS at the Fermi energy, states/eV/cell: 22.80

Lattice parameters (Å, degrees): 9.996 10.804 7.117 90.00 91.40 90.00
Space group C2/m (No. 12)
Inequivalent atoms, fractional coordinates:
Sm1 0.000 0.179 0.000 (multiplicity 4)
Sm2 0.000 0.269 0.500 (multiplicity 4)
Sm3 0.137 0.500 0.865 (multiplicity 4)
Tm1 0.245 0.500 0.362 (multiplicity 4)
Ag1 0.069 0.000 0.322 (multiplicity 4)
Ag2 0.241 0.249 0.228 (multiplicity 8)


# 18
First-principles (PBE) data for a relaxed SmTm2Ag6 crystal, as listed in Alexandria.

Output
DOS at the Fermi energy, states/eV/cell: 22.95

Lattice parameters (Å, degrees): 14.039 10.873 5.301 90.00 100.53 90.00
Space group C2/c (No. 15)
Inequivalent atoms, fractional coordinates:
Sm1 0.000 0.126 0.250 (multiplicity 4)
Tm1 0.167 0.376 0.087 (multiplicity 8)
Ag1 0.055 0.380 0.531 (multiplicity 8)
Ag2 0.115 0.131 0.807 (multiplicity 8)
Ag3 0.227 0.126 0.357 (multiplicity 8)


# 19
First-principles (PBE) data for a relaxed SmTmAg4 crystal, as listed in Alexandria.

Output
DOS at the Fermi energy, states/eV/cell: 5.96
ΔE to the lowest computed polymorph, meV per atom: 2

Lattice parameters (Å, degrees): 5.308 9.326 5.302 90.00 90.12 90.00
Space group C2/m (No. 12)
Inequivalent atoms, fractional coordinates:
Sm1 0.000 0.000 0.000 (multiplicity 2)
Tm1 0.000 0.500 0.500 (multiplicity 2)
Ag1 0.000 0.174 0.500 (multiplicity 4)
Ag2 0.000 0.332 0.000 (multiplicity 4)


# 20
First-principles (PBE) data for a relaxed SmYTmAg crystal, as listed in Alexandria.

Output
DOS at the Fermi energy, states/eV/cell: 5.12
ΔE to the lowest computed polymorph, meV per atom: 0

Lattice parameters (Å, degrees): 3.575 3.575 8.861 90.00 90.00 90.00
Space group P4mm (No. 99)
Inequivalent atoms, fractional coordinates:
Sm1 0.000 0.000 0.000 (multiplicity 1)
Y1 0.500 0.500 0.706 (multiplicity 1)
Tm1 0.500 0.500 0.287 (multiplicity 1)
Ag1 0.000 0.000 0.487 (multiplicity 1)


# 21
First-principles (PBE) data for a relaxed SmYTmAg crystal, as listed in Alexandria.

Output
DOS at the Fermi energy, states/eV/cell: 14.62
ΔE to the lowest computed polymorph, meV per atom: 187

Lattice parameters (Å, degrees): 7.632 7.632 7.632 90.00 90.00 90.00
Space group F-43m (No. 216)
Inequivalent atoms, fractional coordinates:
Sm1 0.000 0.000 0.000 (multiplicity 4)
Y1 0.000 0.000 0.500 (multiplicity 4)
Tm1 0.250 0.250 0.250 (multiplicity 4)
Ag1 0.250 0.250 0.750 (multiplicity 4)


no.,ΔH_f (0 K) (meV per atom),total energy (eV per cell)
1,819.3,-569.2
2,158.0,-81.6
3,-1.0,-84.0
4,-80.6,-40.0
5,30.2,-94.6
6,15.0,-85.6
7,-204.4,-66.1
8,-208.9,-25.1
9,-296.1,-22.4
10,-171.7,-25.1
11,-217.1,-59.8
12,-202.5,-55.8
13,-106.4,-43.5
14,-292.8,-40.5
15,-329.1,-96.3
16,-112.0,-52.2
17,-126.3,-112.3
18,-204.1,-130.4
19,-294.4,-44.7
20,-137.5,-19.1
21,49.8,-73.2